# 1
A plane-wave DFT calculation with meta-GGA SCAN was carried out for a PBEsol-optimized structure of BaBe2Cr.

Output
The energy is -15.995 eV per atom. The value obtained for the energy of formation from the pure elements is 665.3 meV per atom. The calculation puts the total magnetization at 0.9470 μB per atom.

a = 3.0530 Å, b = 3.0530 Å, c = 7.4907 Å
α = 90.00°, β = 90.00°, γ = 90.00°
Last column: nearest neighbours and their distance in Å.
Space group P4mm (No. 99)
Asymmetric unit:
Ba1 0.0000 0.0000 0.0000 x1  4 Ba 3.05, 4 Be 3.32
Be1 0.0000 0.0000 0.4785 x1  4 Be 2.40, 4 Cr 2.49
Be2 0.5000 0.5000 0.3370 x1  1 Cr 2.30, 4 Be 2.40
Cr1 0.5000 0.5000 0.6436 x1  5 Be 2.30-2.49



# 2
A plane-wave DFT calculation with meta-GGA SCAN was carried out for a PBEsol-optimized structure of Mn2IrRh.

Output
The energy is -35.871 eV per atom. The value obtained for the energy of formation from the pure elements is -526.0 meV per atom. The calculation puts the total magnetization at 2.0298 μB per atom.

a = 4.2451 Å, b = 4.2451 Å, c = 2.9678 Å
α = 90.00°, β = 90.00°, γ = 90.00°
Last column: nearest neighbours and their distance in Å.
Space group P4/mmm (No. 123)
Asymmetric unit:
Mn1 0.0000 0.5000 0.0000 x2  4 Ir 2.59, 4 Rh 2.59
Ir1 0.0000 0.0000 0.5000 x1  8 Mn 2.59
Rh1 0.5000 0.5000 0.5000 x1  8 Mn 2.59



# 3
A plane-wave DFT calculation with meta-GGA SCAN was carried out for a PBEsol-optimized structure of AlRe2Os.

Output
The energy is -55.598 eV per atom. The value obtained for the energy of formation from the pure elements is -140.8 meV per atom. The calculation puts the total magnetization at 0.0000 μB per atom.

a = 3.0063 Å, b = 4.2364 Å, c = 4.4564 Å
α = 90.00°, β = 90.00°, γ = 90.00°
Last column: nearest neighbours and their distance in Å.
Space group Pmmm (No. 47)
Asymmetric unit:
Al1 0.0000 0.0000 0.0000 x1  4 Os 2.60, 4 Re 2.69
Re1 0.0000 0.5000 0.5000 x1  4 Re 2.60, 4 Os 2.69
Re2 0.5000 0.0000 0.5000 x1  4 Re 2.60, 4 Al 2.69
Os1 0.5000 0.5000 0.0000 x1  4 Al 2.60, 4 Re 2.69



# 4
A plane-wave DFT calculation with meta-GGA SCAN was carried out for a PBEsol-optimized structure of BeAs2PbBr.

Output
The energy is -27.798 eV per atom. Its uncorrected formation energy is 0.20 eV/atom. The calculation puts the total magnetization at 0.1543 μB per atom.

a = 4.4650 Å, b = 4.4650 Å, c = 5.4135 Å
α = 90.00°, β = 90.00°, γ = 90.00°
Last column: nearest neighbours and their distance in Å.
Space group P4/mmm (No. 123)
Asymmetric unit:
Be1 0.0000 0.0000 0.0000 x1  4 As 2.23
As1 0.0000 0.5000 0.0000 x2  2 Be 2.23
Pb1 0.5000 0.5000 0.5000 x1  4 Br 3.16, 8 As 3.51
Br1 0.0000 0.0000 0.5000 x1  2 Be 2.71